Density functional theory data (GGA-PBE) for an optimized crystal structure of BeAl2Os.

Output
The space-group type is P2/m (10). The calculated total energy comes out at -5.7289 eV/atom. The calculation puts the density of states at the Fermi level at 1.576 states/eV per cell.

a = 3.930 Å, b = 3.299 Å, c = 4.001 Å
α = 90.00°, β = 90.29°, γ = 90.00°
Element x y z (fractional)
Be: 0.000 0.000 0.000
Al: 0.500 0.000 0.500
Al: 0.500 0.500 0.000
Os: 0.000 0.500 0.500

=====

Density functional theory data (GGA-PBE) for an optimized crystal structure of Zn2IrAuS.

Output
The space-group type is P4/mmm (123). The value obtained for the formation energy without anion corrections is 569 kJ/mol of formula units. The calculation puts the density of states at the Fermi level at 3.632 states/eV per cell.

a = 4.764 Å, b = 4.764 Å, c = 4.749 Å
α = 90.00°, β = 90.00°, γ = 90.00°
Element x y z (fractional)
Zn: 0.000 0.500 0.000
Zn: 0.500 0.000 0.000
Ir: 0.000 0.000 0.500
Au: 0.500 0.500 0.000
S: 0.500 0.500 0.500